# MgBe2Cl

A geometry-optimized MgBe2Cl structure (GGA-PBE, Alexandria).

The value obtained for the total energy is -7.61 eV per formula unit. The spin magnetization is 2.30 μB/cell. The calculation puts the formation energy without anion corrections at 0.821 eV/atom. Its volume is 17.2 Å³ per atom.

It has space group F-43m (No. 216), with a = 6.499 Å, b = 6.499 Å, c = 6.499 Å, α = 90.00°, β = 90.00° and γ = 90.00°. Symmetry generates all atoms from Mg at (0.000, 0.000, 0.000), Be at (0.000, 0.000, 0.500), Be at (0.250, 0.250, 0.750) and Cl at (0.250, 0.250, 0.250).



# MgBeCl2

A geometry-optimized MgBeCl2 structure (GGA-PBE, Alexandria).

The value obtained for the total energy is -10.96 eV per formula unit. The spin magnetization is 0.00 μB/cell. The calculation puts the formation energy without anion corrections at -0.487 eV/atom. Its volume is 20.3 Å³ per atom.

It has space group P4mm (No. 99), with a = 3.107 Å, b = 3.107 Å, c = 8.423 Å, α = 90.00°, β = 90.00° and γ = 90.00°. Symmetry generates all atoms from Mg at (0.000, 0.000, 0.000), Be at (0.500, 0.500, 0.261), Cl at (0.000, 0.000, 0.388) and Cl at (0.500, 0.500, 0.826).



# MgBeCl2

A geometry-optimized MgBeCl2 structure (GGA-PBE, Alexandria).

The value obtained for the total energy is -11.30 eV per formula unit. The spin magnetization is 0.00 μB/cell. The calculation puts the formation energy without anion corrections at -0.570 eV/atom. Its volume is 32.0 Å³ per atom.

It has space group R-3m (No. 166, hexagonal axes), with a = 3.4737 Å, b = 3.4737 Å, c = 36.7322 Å, α = 90.00°, β = 90.00° and γ = 120.00°. Symmetry generates all atoms from Mg at (0.0000, 0.0000, 0.0000), Be at (0.0000, 0.0000, 0.5000) and Cl at (0.0000, 0.0000, 0.2940).



# MgBe2Cl

A geometry-optimized MgBe2Cl structure (GGA-PBE, Alexandria).

The value obtained for the total energy is -9.51 eV per formula unit. The spin magnetization is 0.00 μB/cell. The calculation puts the formation energy without anion corrections at 0.347 eV/atom. Its volume is 16.7 Å³ per atom.

It has space group Pmmm (No. 47), with a = 2.830 Å, b = 4.050 Å, c = 5.842 Å, α = 90.00°, β = 90.00° and γ = 90.00°. Symmetry generates all atoms from Mg at (0.000, 0.000, 0.000), Be at (0.000, 0.500, 0.500), Be at (0.500, 0.000, 0.500) and Cl at (0.500, 0.500, 0.000).



# MgBeCl2

A geometry-optimized MgBeCl2 structure (GGA-PBE, Alexandria).

The value obtained for the total energy is -11.24 eV per formula unit. The spin magnetization is 0.00 μB/cell. The calculation puts the formation energy without anion corrections at -0.557 eV/atom. Its volume is 25.7 Å³ per atom.

It has space group I-42d (No. 122), with a = 6.642 Å, b = 6.642 Å, c = 9.312 Å, α = 90.00°, β = 90.00° and γ = 90.00°. Symmetry generates all atoms from Mg at (0.000, 0.000, 0.000), Be at (0.000, 0.000, 0.500) and Cl at (0.047, 0.750, 0.625).



# MgBeCl2

A geometry-optimized MgBeCl2 structure (GGA-PBE, Alexandria).

The value obtained for the total energy is -11.27 eV per formula unit. The spin magnetization is 0.00 μB/cell. The calculation puts the formation energy without anion corrections at -0.565 eV/atom. Its volume is 29.6 Å³ per atom.

It has space group R-3m (No. 166, hexagonal axes), with a = 3.5354 Å, b = 3.5354 Å, c = 32.8467 Å, α = 90.00°, β = 90.00° and γ = 120.00°. Symmetry generates all atoms from Mg at (0.0000, 0.0000, 0.0000), Be at (0.0000, 0.0000, 0.5000) and Cl at (0.0000, 0.0000, 0.3766).



# MgBe4Cl

A geometry-optimized MgBe4Cl structure (GGA-PBE, Alexandria).

The value obtained for the total energy is -15.31 eV per formula unit. The spin magnetization is 0.00 μB/cell. The calculation puts the formation energy without anion corrections at 0.506 eV/atom. Its volume is 12.9 Å³ per atom.

It has space group F-43m (No. 216), with a = 6.769 Å, b = 6.769 Å, c = 6.769 Å, α = 90.00°, β = 90.00° and γ = 90.00°. Symmetry generates all atoms from Mg at (0.000, 0.000, 0.000), Be at (0.132, 0.132, 0.632) and Cl at (0.250, 0.250, 0.250).



# Mg2BeCl

A geometry-optimized Mg2BeCl structure (GGA-PBE, Alexandria).

The value obtained for the total energy is -10.05 eV per formula unit. The spin magnetization is 0.00 μB/cell. The calculation puts the formation energy without anion corrections at -0.321 eV/atom. Its volume is 18.6 Å³ per atom.

It has space group Cm (No. 8), with a = 14.856 Å, b = 3.199 Å, c = 3.197 Å, α = 90.00°, β = 102.29° and γ = 90.00°. Symmetry generates all atoms from Mg at (0.000, 0.000, 0.000), Mg at (0.212, 0.000, 0.209), Be at (0.106, 0.500, 0.604) and Cl at (0.356, 0.000, 0.854).



Copy entry 8 word for word.
# Mg2BeCl

A geometry-optimized Mg2BeCl structure (GGA-PBE, Alexandria).

The value obtained for the total energy is -10.05 eV per formula unit. The spin magnetization is 0.00 μB/cell. The calculation puts the formation energy without anion corrections at -0.321 eV/atom. Its volume is 18.6 Å³ per atom.

It has space group Cm (No. 8), with a = 14.856 Å, b = 3.199 Å, c = 3.197 Å, α = 90.00°, β = 102.29° and γ = 90.00°. Symmetry generates all atoms from Mg at (0.000, 0.000, 0.000), Mg at (0.212, 0.000, 0.209), Be at (0.106, 0.500, 0.604) and Cl at (0.356, 0.000, 0.854).